# Al2AgTe (PBE, optimized geometry)
# Fermi-level density of states: 1.46 states/eV/f.u.
# volume: 85 Å³ per cell
# E_form (uncorrected): 0.053 eV per atom
# calculated total energy: -3.316 eV/atom
data_Al2AgTe
_space_group_name_H-M_alt 'P m m 2'
_space_group_IT_number 25
_space_group_name_Hall 'P 2 -2'
_cell_length_a 2.998
_cell_length_b 3.568
_cell_length_c 7.983
_cell_angle_alpha 90.00
_cell_angle_beta 90.00
_cell_angle_gamma 90.00
loop_
_atom_site_label
_atom_site_fract_x
_atom_site_fract_y
_atom_site_fract_z
Al1 0.000 0.000 0.000
Al2 0.500 0.500 0.217
Ag1 0.000 0.000 0.410
Te1 0.000 0.500 0.727